Record 1
# TbPm6Er2Th

An optimized crystal structure of TbPm6Er2Th (GGA-PBE, Alexandria via LeMat-Bulk).

Unit cell a=9.6414 b=8.8383 c=8.8383 alpha=116.01 beta=93.79 gamma=93.79
Last column: nearest neighbours and their distance in Å.
Positions (direct):
Tb: 0.2500 0.4083 0.5917  6 Pm 3.43-3.55, 2 Er 3.52
Tb: 0.7500 0.5917 0.4083  6 Pm 3.43-3.55, 2 Er 3.52
Pm: 0.0585 0.1101 0.7618  7 Pm 3.46-3.80, 2 Er 3.50-3.81, 2 Th 3.61-3.77
Pm: 0.4415 0.2382 0.8899  7 Pm 3.46-3.80, 2 Er 3.50-3.81, 2 Th 3.61-3.77
Pm: 0.9415 0.8899 0.2382  7 Pm 3.46-3.80, 2 Er 3.50-3.81, 2 Th 3.61-3.77
Pm: 0.5585 0.7618 0.1101  7 Pm 3.46-3.80, 2 Er 3.50-3.81, 2 Th 3.61-3.77
Pm: 0.3132 0.9897 0.4272  1 Pm 3.29, 1 Th 3.43, 1 Tb 3.45, 1 Er 3.45
Pm: 0.1868 0.5728 0.0103  1 Pm 3.29, 1 Th 3.43, 1 Tb 3.45, 1 Er 3.45
Pm: 0.6868 0.0103 0.5728  1 Pm 3.29, 1 Th 3.43, 1 Tb 3.45, 1 Er 3.45
Pm: 0.8132 0.4272 0.9897  1 Pm 3.29, 1 Th 3.43, 1 Tb 3.45, 1 Er 3.45
Pm: 0.1177 0.7033 0.4844  4 Pm 3.27-3.66, 3 Er 3.31-3.48, 2 Tb 3.43-3.55
Pm: 0.3823 0.5156 0.2967  4 Pm 3.27-3.66, 3 Er 3.31-3.48, 2 Tb 3.43-3.55
Pm: 0.8823 0.2967 0.5156  4 Pm 3.27-3.66, 3 Er 3.31-3.48, 2 Tb 3.43-3.55
Pm: 0.6177 0.4844 0.7033  4 Pm 3.27-3.66, 3 Er 3.31-3.48, 2 Tb 3.43-3.55
Er: 0.4481 0.7992 0.7070  5 Pm 3.31-3.50, 2 Th 3.38-3.49, 1 Tb 3.52
Er: 0.0519 0.2930 0.2008  5 Pm 3.31-3.50, 2 Th 3.38-3.49, 1 Tb 3.52
Er: 0.5519 0.2008 0.2930  5 Pm 3.31-3.50, 2 Th 3.38-3.49, 1 Tb 3.52
Er: 0.9481 0.7070 0.7992  5 Pm 3.31-3.50, 2 Th 3.38-3.49, 1 Tb 3.52
Th: 0.2500 0.9684 0.0316  4 Er 3.38-3.49, 6 Pm 3.43-3.77
Th: 0.7500 0.0316 0.9684  4 Er 3.38-3.49, 6 Pm 3.43-3.77

- SG: C2/c, No. 15
- Calculated formation energy: 1.44 eV/f.u.
- Total magnetization: 0.0 Bohr magnetons per cell
- Total DFT energy (no corrections): -4.82 eV/atom

---

Record 2
# Tb3Pm6Er2Th

An optimized crystal structure of Tb3Pm6Er2Th (GGA-PBE, Alexandria via LeMat-Bulk).

Unit cell a=6.2321 b=6.2321 c=11.9401 alpha=95.01 beta=95.01 gamma=119.94
Last column: nearest neighbours and their distance in Å.
Positions (direct):
Tb: 0.1669 0.8331 0.5000  6 Tb 3.59-3.60, 6 Pm 3.61-3.62
Tb: 0.8331 0.1669 0.5000  6 Tb 3.59-3.60, 6 Pm 3.61-3.62
Tb: 0.5000 0.5000 0.5000  6 Tb 3.59-3.60, 6 Pm 3.61-3.63
Pm: 0.9165 0.5862 0.7514  6 Pm 3.56-3.62, 1 Th 3.58, 2 Er 3.59, 3 Tb 3.61-3.62
Pm: 0.7533 0.7533 0.2483  6 Pm 3.57-3.62, 1 Th 3.57, 2 Er 3.59, 3 Tb 3.61-3.63
Pm: 0.0835 0.4138 0.2486  6 Pm 3.56-3.62, 1 Th 3.58, 2 Er 3.59, 3 Tb 3.61-3.62
Pm: 0.5862 0.9165 0.7514  6 Pm 3.56-3.62, 1 Th 3.58, 2 Er 3.59, 3 Tb 3.61-3.62
Pm: 0.2467 0.2467 0.7517  6 Pm 3.57-3.62, 1 Th 3.57, 2 Er 3.59, 3 Tb 3.61-3.63
Pm: 0.4138 0.0835 0.2486  6 Pm 3.56-3.62, 1 Th 3.58, 2 Er 3.59, 3 Tb 3.61-3.62
Er: 0.3333 0.6667 0.0000  6 Pm 3.59, 3 Th 3.60, 3 Er 3.60
Er: 0.6667 0.3333 0.0000  6 Pm 3.59, 3 Th 3.60, 3 Er 3.60
Th: 0.0000 0.0000 0.0000  6 Pm 3.57-3.58, 6 Er 3.60

- SG: C2/m, No. 12
- Calculated formation energy: 0.35 eV/f.u.
- Total magnetization: 0.0 Bohr magnetons per cell
- Total DFT energy (no corrections): -4.88 eV/atom

---

Record 3
# TbPmErTh

An optimized crystal structure of TbPmErTh (GGA-PBE, Alexandria via LeMat-Bulk).

Unit cell a=3.5946 b=3.5939 c=11.7161 alpha=90.01 beta=98.84 gamma=119.99
Last column: nearest neighbours and their distance in Å.
Positions (direct):
Tb: 0.4742 0.1348 0.6242  3 Th 3.49, 6 Tb 3.59, 3 Pm 3.62
Pm: 0.9686 0.3826 0.3666  6 Pm 3.59, 3 Er 3.60-3.61, 3 Tb 3.62
Er: 0.1324 0.9643 0.1108  3 Th 3.48-3.49, 6 Er 3.59, 3 Pm 3.60-3.61
Th: 0.3028 0.5491 0.8680  3 Er 3.48-3.49, 3 Tb 3.49, 6 Th 3.59

- SG: R3m, No. 160
- Calculated formation energy: 0.05 eV/f.u.
- Total magnetization: 0.0 Bohr magnetons per cell
- Polymorph energy (0 for the lowest one): 0.000 eV/atom
- Total DFT energy (no corrections): -5.33 eV/atom

---

Record 4
# Tb6PmEr2Th3

An optimized crystal structure of Tb6PmEr2Th3 (GGA-PBE, Alexandria via LeMat-Bulk).

Unit cell a=6.1839 b=6.1839 c=11.7765 alpha=95.03 beta=95.03 gamma=119.98
Last column: nearest neighbours and their distance in Å.
Positions (direct):
Tb: 0.9154 0.5815 0.7461  3 Th 3.52, 6 Tb 3.57-3.58, 2 Er 3.59, 1 Pm 3.60
Tb: 0.7506 0.7506 0.2539  3 Th 3.52, 6 Tb 3.57-3.58, 2 Er 3.59, 1 Pm 3.60
Tb: 0.0846 0.4185 0.2539  3 Th 3.52, 6 Tb 3.57-3.58, 2 Er 3.59, 1 Pm 3.60
Tb: 0.5815 0.9154 0.7461  3 Th 3.52, 6 Tb 3.57-3.58, 2 Er 3.59, 1 Pm 3.60
Tb: 0.2494 0.2494 0.7461  3 Th 3.52, 6 Tb 3.57-3.58, 2 Er 3.59, 1 Pm 3.60
Tb: 0.4185 0.0846 0.2539  3 Th 3.52, 6 Tb 3.57-3.58, 2 Er 3.59, 1 Pm 3.60
Pm: 0.0000 0.0000 0.0000  6 Er 3.57, 6 Tb 3.60
Er: 0.3332 0.6668 0.0000  3 Pm 3.57, 3 Er 3.57, 6 Tb 3.59
Er: 0.6668 0.3332 0.0000  3 Pm 3.57, 3 Er 3.57, 6 Tb 3.59
Th: 0.1664 0.8336 0.5000  6 Tb 3.52, 6 Th 3.56-3.57
Th: 0.8336 0.1664 0.5000  6 Tb 3.52, 6 Th 3.56-3.57
Th: 0.5000 0.5000 0.5000  6 Tb 3.52, 6 Th 3.57

- SG: C2/m, No. 12
- Calculated formation energy: 0.28 eV/f.u.
- Total magnetization: 0.0 Bohr magnetons per cell
- Total DFT energy (no corrections): -5.30 eV/atom

---

Record 5
# Tb6Pm2Er3Tl

An optimized crystal structure of Tb6Pm2Er3Tl (GGA-PBE, Alexandria via LeMat-Bulk).

Unit cell a=6.1026 b=6.1026 c=11.7213 alpha=94.99 beta=94.99 gamma=120.04
Last column: nearest neighbours and their distance in Å.
Positions (direct):
Tb: 0.9163 0.5883 0.7487  6 Tb 3.47-3.55, 3 Er 3.51-3.54, 1 Tl 3.52, 2 Pm 3.55
Tb: 0.7559 0.7559 0.2524  6 Tb 3.47-3.55, 3 Er 3.50-3.53, 1 Tl 3.54, 2 Pm 3.56
Tb: 0.0837 0.4117 0.2513  6 Tb 3.47-3.55, 3 Er 3.51-3.54, 1 Tl 3.52, 2 Pm 3.55
Tb: 0.5883 0.9163 0.7487  6 Tb 3.47-3.55, 3 Er 3.51-3.54, 1 Tl 3.52, 2 Pm 3.55
Tb: 0.2441 0.2441 0.7476  6 Tb 3.47-3.55, 3 Er 3.50-3.53, 1 Tl 3.54, 2 Pm 3.56
Tb: 0.4117 0.0837 0.2513  6 Tb 3.47-3.55, 3 Er 3.51-3.54, 1 Tl 3.52, 2 Pm 3.55
Pm: 0.3338 0.6662 0.0000  3 Pm 3.51-3.53, 3 Tl 3.52-3.53, 6 Tb 3.55-3.56
Pm: 0.6662 0.3338 0.0000  3 Pm 3.51-3.53, 3 Tl 3.52-3.53, 6 Tb 3.55-3.56
Er: 0.1668 0.8332 0.5000  6 Tb 3.50-3.54, 6 Er 3.52-3.53
Er: 0.8332 0.1668 0.5000  6 Tb 3.50-3.54, 6 Er 3.52-3.53
Er: 0.5000 0.5000 0.5000  6 Tb 3.51-3.53, 6 Er 3.52
Tl: 0.0000 0.0000 0.0000  6 Pm 3.52-3.53, 6 Tb 3.52-3.54

- SG: C2/m, No. 12
- Calculated formation energy: -0.32 eV/f.u.
- Total magnetization: 0.0 Bohr magnetons per cell
- Total DFT energy (no corrections): -4.47 eV/atom

---

Record 6
# Tb6Pm3Er2Tl

An optimized crystal structure of Tb6Pm3Er2Tl (GGA-PBE, Alexandria via LeMat-Bulk).

Unit cell a=6.1644 b=6.1644 c=11.6671 alpha=95.09 beta=95.09 gamma=120.05
Last column: nearest neighbours and their distance in Å.
Positions (direct):
Tb: 0.9198 0.5914 0.7566  1 Tl 3.45, 2 Er 3.48, 6 Tb 3.51-3.59, 3 Pm 3.58-3.61
Tb: 0.7519 0.7519 0.2451  1 Tl 3.47, 2 Er 3.49, 6 Tb 3.51-3.59, 3 Pm 3.57-3.59
Tb: 0.0802 0.4086 0.2434  1 Tl 3.45, 2 Er 3.48, 6 Tb 3.51-3.59, 3 Pm 3.58-3.61
Tb: 0.5914 0.9198 0.7566  1 Tl 3.45, 2 Er 3.48, 6 Tb 3.51-3.59, 3 Pm 3.58-3.61
Tb: 0.2481 0.2481 0.7549  1 Tl 3.47, 2 Er 3.49, 6 Tb 3.51-3.59, 3 Pm 3.57-3.59
Tb: 0.4086 0.0802 0.2434  1 Tl 3.45, 2 Er 3.48, 6 Tb 3.51-3.59, 3 Pm 3.58-3.61
Pm: 0.1673 0.8327 0.5000  6 Pm 3.55-3.57, 6 Tb 3.57-3.61
Pm: 0.8327 0.1673 0.5000  6 Pm 3.55-3.57, 6 Tb 3.57-3.61
Pm: 0.5000 0.5000 0.5000  6 Pm 3.55-3.56, 6 Tb 3.58-3.59
Er: 0.3340 0.6660 0.0000  6 Tb 3.48-3.49, 3 Er 3.54-3.56, 3 Tl 3.55-3.57
Er: 0.6660 0.3340 0.0000  6 Tb 3.48-3.49, 3 Er 3.54-3.56, 3 Tl 3.55-3.57
Tl: 0.0000 0.0000 0.0000  6 Tb 3.45-3.47, 6 Er 3.55-3.57

- SG: C2/m, No. 12
- Calculated formation energy: -0.12 eV/f.u.
- Total magnetization: 0.0 Bohr magnetons per cell
- Total DFT energy (no corrections): -4.47 eV/atom

---

Repeat the first record exactly.
# TbPm6Er2Th

An optimized crystal structure of TbPm6Er2Th (GGA-PBE, Alexandria via LeMat-Bulk).

Unit cell a=9.6414 b=8.8383 c=8.8383 alpha=116.01 beta=93.79 gamma=93.79
Last column: nearest neighbours and their distance in Å.
Positions (direct):
Tb: 0.2500 0.4083 0.5917  6 Pm 3.43-3.55, 2 Er 3.52
Tb: 0.7500 0.5917 0.4083  6 Pm 3.43-3.55, 2 Er 3.52
Pm: 0.0585 0.1101 0.7618  7 Pm 3.46-3.80, 2 Er 3.50-3.81, 2 Th 3.61-3.77
Pm: 0.4415 0.2382 0.8899  7 Pm 3.46-3.80, 2 Er 3.50-3.81, 2 Th 3.61-3.77
Pm: 0.9415 0.8899 0.2382  7 Pm 3.46-3.80, 2 Er 3.50-3.81, 2 Th 3.61-3.77
Pm: 0.5585 0.7618 0.1101  7 Pm 3.46-3.80, 2 Er 3.50-3.81, 2 Th 3.61-3.77
Pm: 0.3132 0.9897 0.4272  1 Pm 3.29, 1 Th 3.43, 1 Tb 3.45, 1 Er 3.45
Pm: 0.1868 0.5728 0.0103  1 Pm 3.29, 1 Th 3.43, 1 Tb 3.45, 1 Er 3.45
Pm: 0.6868 0.0103 0.5728  1 Pm 3.29, 1 Th 3.43, 1 Tb 3.45, 1 Er 3.45
Pm: 0.8132 0.4272 0.9897  1 Pm 3.29, 1 Th 3.43, 1 Tb 3.45, 1 Er 3.45
Pm: 0.1177 0.7033 0.4844  4 Pm 3.27-3.66, 3 Er 3.31-3.48, 2 Tb 3.43-3.55
Pm: 0.3823 0.5156 0.2967  4 Pm 3.27-3.66, 3 Er 3.31-3.48, 2 Tb 3.43-3.55
Pm: 0.8823 0.2967 0.5156  4 Pm 3.27-3.66, 3 Er 3.31-3.48, 2 Tb 3.43-3.55
Pm: 0.6177 0.4844 0.7033  4 Pm 3.27-3.66, 3 Er 3.31-3.48, 2 Tb 3.43-3.55
Er: 0.4481 0.7992 0.7070  5 Pm 3.31-3.50, 2 Th 3.38-3.49, 1 Tb 3.52
Er: 0.0519 0.2930 0.2008  5 Pm 3.31-3.50, 2 Th 3.38-3.49, 1 Tb 3.52
Er: 0.5519 0.2008 0.2930  5 Pm 3.31-3.50, 2 Th 3.38-3.49, 1 Tb 3.52
Er: 0.9481 0.7070 0.7992  5 Pm 3.31-3.50, 2 Th 3.38-3.49, 1 Tb 3.52
Th: 0.2500 0.9684 0.0316  4 Er 3.38-3.49, 6 Pm 3.43-3.77
Th: 0.7500 0.0316 0.9684  4 Er 3.38-3.49, 6 Pm 3.43-3.77

- SG: C2/c, No. 15
- Calculated formation energy: 1.44 eV/f.u.
- Total magnetization: 0.0 Bohr magnetons per cell
- Total DFT energy (no corrections): -4.82 eV/atom